The following is a PBE calculation of a relaxed structure of Sr3TbTe4, from Alexandria.

Output
Raw formation energy   -1.61 eV per atom

abc: 4.6104 8.0393 8.0393
angles: 109.20 90.00 90.00
Fractional positions:
Sr 0.0000 0.0000 0.5000
Sr 0.5000 0.5000 0.5000
Sr 0.0000 0.5000 0.0000
Tb 0.5000 0.0000 0.0000
Te 0.0000 0.2356 0.2356
Te 0.5000 0.7582 0.2418
Te 0.0000 0.7644 0.7644
Te 0.5000 0.2418 0.7582



The following is a PBE calculation of a relaxed structure of Ca2ZrMn, from Alexandria.

Output
Calculated formation energy   1.051 eV/atom
Energy above the lowest structure with this stoichiometry   0.852 eV per atom

abc: 5.1477 5.1477 5.1477
angles: 60.00 60.00 60.00
Fractional positions:
Ca 0.2500 0.2500 0.2500
Ca 0.7500 0.7500 0.7500
Mn 0.0000 0.0000 0.0000
Zr 0.5000 0.5000 0.5000



The following is a PBE calculation of a relaxed structure of VIrSeBr2, from Alexandria.

Output
Energy above the lowest structure with this stoichiometry   0.034 eV per atom
Raw formation energy   0.92 eV per atom

abc: 5.1717 5.1717 4.7814
angles: 90.00 90.00 90.00
Site moments in Bohr magnetons follow the coordinates.
Fractional positions:
Ir 0.0000 0.0000 0.0000  0.05
Se 0.0000 0.0000 0.5000  0.07
Br 0.0000 0.5000 0.0000  0.00
Br 0.5000 0.0000 0.0000  0.00
V 0.5000 0.5000 0.5000  -0.29



The following is a PBE calculation of a relaxed structure of PrDyErMg, from Alexandria.

Output
Calculated formation energy   0.031 eV/atom
Energy above the lowest structure with this stoichiometry   0.054 eV per atom

abc: 5.5559 5.5559 5.5559
angles: 60.00 60.00 60.00
Fractional positions:
Pr 0.7500 0.7500 0.7500
Mg 0.0000 0.0000 0.0000
Dy 0.2500 0.2500 0.2500
Er 0.5000 0.5000 0.5000



The following is a PBE calculation of a relaxed structure of Sr2TaAg, from Alexandria.

Output
Calculated formation energy   0.614 eV/atom
Energy above the lowest structure with this stoichiometry   0.076 eV per atom

abc: 6.8691 6.8691 6.8691
angles: 150.87 130.83 58.17
Site moments in Bohr magnetons follow the coordinates.
Fractional positions:
Ag 0.2767 0.7767 0.5000  0.04
Sr 0.0309 0.0309 0.0000  0.05
Sr 0.7336 0.2336 0.5000  0.02
Ta 0.4588 0.4588 0.0000  0.94



The following is a PBE calculation of a relaxed structure of Ho5Tm2Cd, from Alexandria.

Output
Calculated formation energy   0.000 eV/atom

abc: 8.0492 8.0491 6.7673
angles: 126.46 126.46 90.05
Fractional positions:
Ho 0.6919 0.2422 0.9341
Ho 0.2431 0.2430 0.9359
Ho 0.6930 0.6930 0.9361
Ho 0.2422 0.6919 0.9342
Ho 0.7805 0.7805 0.5610
Tm 0.2121 0.7121 0.4243
Tm 0.7121 0.2122 0.4243
Cd 0.2021 0.2021 0.4042



What did we get for density of states at the Fermi level? Answer: 0.33; 1.42; 2.04; 1.20; 0.83; 0.93 states/eV/atom, in the order shown.
What did we get for M_tot? Answer: 0.00; 0.00; 0.18; 0.00; 1.83; 0.00 μB/f.u., in the order shown.
What did we get for calculated total energy? Answer: -35.1; -17.5; -20.2; -15.4; -15.6; -32.7 eV/f.u., in the order shown.